1.
VASP calculation (PBE-GGA) on crystalline HfZrTi2H at its relaxed geometry.

Structure (POSCAR):
```
HfZrTi2H
1.0
4.338 0.000 0.000
0.000 4.338 0.000
0.000 0.000 4.312
Hf Zr Ti H
1 1 2 1
direct
0.000 0.000 0.000
0.500 0.500 0.000
0.000 0.500 0.500
0.500 0.000 0.500
0.000 0.000 0.500
```

Results
- space group = No. 123
- distance to the lowest polymorph of the same formula (meV per atom) = 8
- N(E_F) (states/eV per cell) = 8.69



2.
VASP calculation (PBE-GGA) on crystalline Tm5Zn2Te2 at its relaxed geometry.

Structure (POSCAR):
```
Tm5Zn2Te2
1.0
7.623 -3.902 0.000
7.623 3.902 0.000
0.000 0.000 7.778
Tm Zn Te
10 4 4
direct
0.000 0.000 0.000
0.041 0.709 0.665
0.209 0.541 0.165
0.291 0.959 0.665
0.459 0.791 0.165
0.500 0.500 0.500
0.541 0.209 0.835
0.709 0.041 0.335
0.791 0.459 0.835
0.959 0.291 0.335
0.128 0.872 0.374
0.372 0.628 0.874
0.628 0.372 0.126
0.872 0.128 0.626
0.206 0.206 0.000
0.294 0.294 0.500
0.706 0.706 0.500
0.794 0.794 0.000
```

Results
- space group = No. 64
- E_tot (eV per atom) = -4.1734
- N(E_F) (states/eV per cell) = 12.45



3.
VASP calculation (PBE-GGA) on crystalline PmNdGeCl at its relaxed geometry.

Structure (POSCAR):
```
PmNdGeCl
1.0
5.841 0.000 0.000
0.000 4.963 0.000
0.000 0.000 8.713
Pm Nd Ge Cl
2 2 2 2
direct
0.000 0.000 0.000
0.000 0.500 0.500
0.500 0.000 0.331
0.500 0.500 0.831
0.000 0.000 0.331
0.000 0.500 0.831
0.500 0.000 0.000
0.500 0.500 0.500
```

Results
- space group = No. 38
- distance to the lowest polymorph of the same formula (meV per atom) = 62
- N(E_F) (states/eV per cell) = 3.05



4.
VASP calculation (PBE-GGA) on crystalline Pr9NdMg2 at its relaxed geometry.

Structure (POSCAR):
```
Pr9NdMg2
1.0
5.128 0.000 0.000
0.000 5.128 0.000
0.000 0.000 15.444
Pr Nd Mg
9 1 2
direct
0.000 0.000 0.000
0.000 0.000 0.337
0.000 0.000 0.663
0.000 0.500 0.172
0.000 0.500 0.500
0.000 0.500 0.828
0.500 0.000 0.172
0.500 0.000 0.500
0.500 0.000 0.828
0.500 0.500 0.000
0.500 0.500 0.337
0.500 0.500 0.663
```

Results
- space group = No. 123
- E_tot (eV per atom) = -4.2496
- N(E_F) (states/eV per cell) = 17.39